1.
First-principles (PBE-GGA) data for a relaxed LaGe2B crystal, as listed in Alexandria.

a b c (Å): 7.117 7.117 6.182
angles (deg): 90.00 90.00 90.00
Space group I-42d (No. 122)
Asymmetric unit:
La 0.000 0.000 0.000 x4
Ge 0.151 0.250 0.625 x8
B 0.000 0.000 0.500 x4

Uncorrected energy   -5.310 eV per atom
Mass density   6.258 Mg/m³
Calculated formation energy   -0.100 eV/atom



2.
First-principles (PBE-GGA) data for a relaxed HgRu2W crystal, as listed in Alexandria.

a b c (Å): 2.8256 2.8256 28.0147
angles (deg): 90.00 90.00 120.00
Space group R3m (No. 160, hexagonal axes)
Asymmetric unit:
Hg 0.0000 0.0000 0.0000 x3
Ru 0.0000 0.0000 0.4959 x3
Ru 0.0000 0.0000 0.7547 x3
W 0.0000 0.0000 0.2408 x3

Uncorrected energy   -7.520 eV per atom
Mass density   15.085 Mg/m³
E above lowest polymorph   0.85 eV/f.u.
Calculated formation energy   0.431 eV/atom



3.
First-principles (PBE-GGA) data for a relaxed YAg2SnPb crystal, as listed in Alexandria.

a b c (Å): 5.765 5.765 6.542
angles (deg): 90.00 90.00 90.00
Space group P4/mmm (No. 123)
Asymmetric unit:
Y 0.000 0.000 0.000 x1
Ag 0.000 0.500 0.500 x2
Sn 0.500 0.500 0.000 x1
Pb 0.000 0.000 0.500 x1

Uncorrected energy   -3.293 eV per atom
Mass density   4.816 Mg/m³
Calculated formation energy   0.682 eV/atom



4.
First-principles (PBE-GGA) data for a relaxed Ta4OsRh crystal, as listed in Alexandria.

a b c (Å): 7.481 7.481 7.481
angles (deg): 90.00 90.00 90.00
Space group F-43m (No. 216)
Asymmetric unit:
Ta 0.124 0.124 0.124 x16
Os 0.250 0.250 0.750 x4
Rh 0.000 0.000 0.500 x4

Uncorrected energy   -10.659 eV per atom
Mass density   16.135 Mg/m³
Calculated formation energy   0.340 eV/atom



5.
First-principles (PBE-GGA) data for a relaxed LaTb2Ga2Ag2 crystal, as listed in Alexandria.

a b c (Å): 4.6862 4.6862 27.2568
angles (deg): 90.00 90.00 120.00
Space group R-3m (No. 166, hexagonal axes)
Asymmetric unit:
La 0.0000 0.0000 0.0000 x3
Tb 0.0000 0.0000 0.1273 x6
Ga 0.0000 0.0000 0.2536 x6
Ag 0.0000 0.0000 0.4072 x6

Uncorrected energy   -4.107 eV per atom
Mass density   7.803 Mg/m³
Calculated formation energy   -0.401 eV/atom



6.
First-principles (PBE-GGA) data for a relaxed DySc2PaSb4 crystal, as listed in Alexandria.

a b c (Å): 7.359 4.281 7.419
angles (deg): 90.00 109.53 90.00
Space group P2/m (No. 10)
Asymmetric unit:
Dy 0.000 0.000 0.000 x1
Sc 0.500 0.000 0.500 x1
Sc 0.500 0.500 0.000 x1
Pa 0.000 0.500 0.500 x1
Sb 0.264 0.500 0.256 x2
Sb 0.266 0.000 0.756 x2

Uncorrected energy   -6.265 eV per atom
Mass density   7.316 Mg/m³
Energy relative to the elements, uncorrected   -859 meV per atom



7.
First-principles (PBE-GGA) data for a relaxed NaSrLiSn2 crystal, as listed in Alexandria.

a b c (Å): 6.243 6.762 6.659
angles (deg): 90.00 90.00 90.00
Space group Pmma (No. 51)
Asymmetric unit:
Na 0.250 0.000 0.095 x2
Sr 0.250 0.500 0.232 x2
Li 0.000 0.000 0.500 x2
Sn 0.250 0.282 0.716 x4

Uncorrected energy   -2.920 eV per atom
Mass density   4.194 Mg/m³
Calculated formation energy   -0.335 eV/atom



8.
First-principles (PBE-GGA) data for a relaxed K2InPb2 crystal, as listed in Alexandria.

a b c (Å): 4.963 4.963 15.721
angles (deg): 90.00 90.00 90.00
Space group I4/mmm (No. 139)
Asymmetric unit:
K 0.000 0.500 0.250 x4
In 0.000 0.000 0.000 x2
Pb 0.000 0.000 0.410 x4

Uncorrected energy   -2.300 eV per atom
Mass density   5.210 Mg/m³
E above lowest polymorph   1.64 eV/f.u.
Calculated formation energy   0.170 eV/atom



Q: Look up the uncorrected energy of the fourth one.
A: -10.659 eV per atom



Q: Look up the mass density of the seventh one.
A: 4.194 Mg/m³